A relaxed Ho3Fe5O12 crystal, computed with GGA+U.

Cell: 10.7215 10.7215 10.7215 Å, 109.47 109.47 109.47°
Last column: nearest neighbours and their distance in Å.
Positions (direct):
Ho1 0.1250 0.2500 0.3750  8 O 2.35-2.44
Ho2 0.1250 0.3750 0.7500  8 O 2.35-2.44
Ho3 0.2500 0.3750 0.1250  8 O 2.35-2.44
Ho4 0.2500 0.8750 0.6250  8 O 2.35-2.44
Ho5 0.3750 0.1250 0.2500  8 O 2.35-2.44
Ho6 0.3750 0.7500 0.1250  8 O 2.35-2.44
Ho7 0.6250 0.2500 0.8750  8 O 2.35-2.44
Ho8 0.6250 0.8750 0.7500  8 O 2.35-2.44
Ho9 0.7500 0.1250 0.3750  8 O 2.35-2.44
Ho10 0.7500 0.6250 0.8750  8 O 2.35-2.44
Ho11 0.8750 0.6250 0.2500  8 O 2.35-2.44
Ho12 0.8750 0.7500 0.6250  8 O 2.35-2.44
Fe1 0.0000 0.0000 0.0000  6 O 1.99
Fe2 0.0000 0.0000 0.5000  6 O 1.99
Fe3 0.0000 0.5000 0.0000  6 O 1.99
Fe4 0.0000 0.5000 0.5000  6 O 1.99
Fe5 0.1250 0.7500 0.8750  4 O 1.89
Fe6 0.1250 0.8750 0.2500  4 O 1.89
Fe7 0.2500 0.1250 0.8750  4 O 1.89
Fe8 0.2500 0.6250 0.3750  4 O 1.89
Fe9 0.3750 0.2500 0.6250  4 O 1.89
Fe10 0.3750 0.6250 0.7500  4 O 1.89
Fe11 0.5000 0.0000 0.0000  6 O 1.99
Fe12 0.5000 0.0000 0.5000  6 O 1.99
Fe13 0.5000 0.5000 0.0000  6 O 1.99
Fe14 0.5000 0.5000 0.5000  6 O 1.99
Fe15 0.6250 0.3750 0.2500  4 O 1.89
Fe16 0.6250 0.7500 0.3750  4 O 1.89
Fe17 0.7500 0.3750 0.6250  4 O 1.89
Fe18 0.7500 0.8750 0.1250  4 O 1.89
Fe19 0.8750 0.1250 0.7500  4 O 1.89
Fe20 0.8750 0.2500 0.1250  4 O 1.89
O1 0.0309 0.2050 0.1233  2 Fe 1.89-1.99
O2 0.0309 0.3259 0.9076  2 Fe 1.89-1.99
O3 0.0816 0.7050 0.6741  2 Fe 1.89-1.99
O4 0.0816 0.8767 0.4076  2 Fe 1.89-1.99
O5 0.0924 0.6233 0.4184  2 Fe 1.89-1.99
O6 0.0924 0.9691 0.6741  2 Fe 1.89-1.99
O7 0.1233 0.0309 0.2050  2 Fe 1.89-1.99
O8 0.1233 0.5924 0.9184  2 Fe 1.89-1.99
O9 0.1741 0.2050 0.5816  2 Fe 1.89-1.99
O10 0.1741 0.4691 0.5924  2 Fe 1.89-1.99
O11 0.2050 0.1233 0.0309  2 Fe 1.89-1.99
O12 0.2050 0.5816 0.1741  2 Fe 1.89-1.99
O13 0.2950 0.3259 0.9184  2 Fe 1.89-1.99
O14 0.2950 0.4691 0.3767  2 Fe 1.89-1.99
O15 0.3259 0.9076 0.0309  2 Fe 1.89-1.99
O16 0.3259 0.9184 0.2950  2 Fe 1.89-1.99
O17 0.3767 0.2950 0.4691  2 Fe 1.89-1.99
O18 0.3767 0.5816 0.9076  2 Fe 1.89-1.99
O19 0.4076 0.0816 0.8767  2 Fe 1.89-1.99
O20 0.4076 0.8259 0.5309  2 Fe 1.89-1.99
O21 0.4184 0.0924 0.6233  2 Fe 1.89-1.99
O22 0.4184 0.8259 0.7950  2 Fe 1.89-1.99
O23 0.4691 0.3767 0.2950  2 Fe 1.89-1.99
O24 0.4691 0.5924 0.1741  2 Fe 1.89-1.99
O25 0.5309 0.4076 0.8259  2 Fe 1.89-1.99
O26 0.5309 0.6233 0.7050  2 Fe 1.89-1.99
O27 0.5816 0.1741 0.2050  2 Fe 1.89-1.99
O28 0.5816 0.9076 0.3767  2 Fe 1.89-1.99
O29 0.5924 0.1741 0.4691  2 Fe 1.89-1.99
O30 0.5924 0.9184 0.1233  2 Fe 1.89-1.99
O31 0.6233 0.4184 0.0924  2 Fe 1.89-1.99
O32 0.6233 0.7050 0.5309  2 Fe 1.89-1.99
O33 0.6741 0.0816 0.7050  2 Fe 1.89-1.99
O34 0.6741 0.0924 0.9691  2 Fe 1.89-1.99
O35 0.7050 0.5309 0.6233  2 Fe 1.89-1.99
O36 0.7050 0.6741 0.0816  2 Fe 1.89-1.99
O37 0.7950 0.4184 0.8259  2 Fe 1.89-1.99
O38 0.7950 0.8767 0.9691  2 Fe 1.89-1.99
O39 0.8259 0.5309 0.4076  2 Fe 1.89-1.99
O40 0.8259 0.7950 0.4184  2 Fe 1.89-1.99
O41 0.8767 0.4076 0.0816  2 Fe 1.89-1.99
O42 0.8767 0.9691 0.7950  2 Fe 1.89-1.99
O43 0.9076 0.0309 0.3259  2 Fe 1.89-1.99
O44 0.9076 0.3767 0.5816  2 Fe 1.89-1.99
O45 0.9184 0.1233 0.5924  2 Fe 1.89-1.99
O46 0.9184 0.2950 0.3259  2 Fe 1.89-1.99
O47 0.9691 0.6741 0.0924  2 Fe 1.89-1.99
O48 0.9691 0.7950 0.8767  2 Fe 1.89-1.99

Properties
- E: -568.5 eV for the cell shown
- Spin magnetization: 17.0 μB per formula unit
- Symmetry: No. 230